# 1
First-principles (PBE-GGA) data for an optimized crystal structure of Cs2YTe6, as listed in the Alexandria database.

The value obtained for the density of states at the Fermi level is 4.28 states/eV/f.u. The value obtained for the energy is -3.718 eV/atom. The density is 4.61 Mg/m³.

Lattice parameters (Å, degrees): 5.1324 9.7179 9.7179 58.42 79.25 79.25
With the nearest neighbours (Å) after each atom.
Fractional positions:
Te: 0.9061 0.6772 0.0115  2 Te 3.01-3.17, 1 Y 3.20
Te: 0.0939 0.9885 0.3228  2 Te 3.01-3.17, 1 Y 3.20
Te: 0.5000 0.8007 0.1993  2 Te 3.01, 2 Y 3.19
Te: 0.0939 0.3228 0.9885  2 Te 3.01-3.17, 1 Y 3.20
Te: 0.5000 0.1993 0.8007  2 Te 3.01, 2 Y 3.19
Te: 0.9061 0.0115 0.6772  2 Te 3.01-3.17, 1 Y 3.20
Y: 0.0000 0.0000 0.0000  8 Te 3.19-3.20
Cs: 0.5639 0.6762 0.6762  10 Te 3.98-4.23
Cs: 0.4361 0.3238 0.3238  10 Te 3.98-4.23



# 2
First-principles (PBE-GGA) data for an optimized crystal structure of CsY2Te3, as listed in the Alexandria database.

The value obtained for the density of states at the Fermi level is 2.58 states/eV/f.u. The value obtained for the energy is -5.122 eV/atom. The density is 5.38 Mg/m³.

Lattice parameters (Å, degrees): 4.4396 8.2099 12.0954 103.72 90.00 90.00
With the nearest neighbours (Å) after each atom.
Fractional positions:
Te: 0.2500 0.1125 0.6527  5 Y 3.09-3.22
Te: 0.7500 0.8293 0.0255  3 Y 3.08-3.21
Te: 0.7500 0.6449 0.6357  4 Y 3.09-3.30
Te: 0.2500 0.1707 0.9745  3 Y 3.08-3.21
Te: 0.2500 0.3551 0.3643  4 Y 3.09-3.30
Te: 0.7500 0.8875 0.3473  5 Y 3.09-3.22
Cs: 0.2500 0.5307 0.8435  6 Te 3.64-3.67
Cs: 0.7500 0.4693 0.1565  6 Te 3.64-3.67
Y: 0.7500 0.9982 0.8114  6 Te 3.08-3.22
Y: 0.2500 0.0018 0.1886  6 Te 3.08-3.22
Y: 0.2500 0.7582 0.4921  6 Te 3.09-3.30
Y: 0.7500 0.2418 0.5079  6 Te 3.09-3.30



no.,formation energy from raw total energies (eV per atom)
1,-0.72
2,-1.25